No. 1
BiIrPdAu, optimized geometry, DFT PBE; space group = Cm; final energy = -5.10 eV per atom; DFT formation energy = 200 meV per atom; theoretical density = 15.74 Mg/m³
1.0
-4.0847 -1.9388 1.3737
1.6158 -1.8674 2.1691
1.9144 8.2155 5.6466
Au Bi Ir Pd
2 2 2 2
direct
0.1078 0.0000 0.2198
0.1078 0.5000 0.7198
0.4831 0.0000 0.9934
0.4831 0.5000 0.4934
0.6144 0.0000 0.7327
0.6144 0.5000 0.2327
0.9768 0.5000 0.9697
0.9768 0.0000 0.4697



No. 2
BiIrPdAu, optimized geometry, DFT PBE; space group = Pmm2; final energy = -5.13 eV per atom; DFT formation energy = 178 meV per atom; theoretical density = 15.80 Mg/m³
1.0
3.3116 0.0000 0.0000
0.0000 3.6710 0.0000
0.0000 0.0000 6.0917
Ir Au Bi Pd
1 1 1 1
direct
0.5000 0.0000 0.6206
0.0000 0.5000 0.3732
0.0000 0.5000 0.8654
0.5000 0.0000 0.1440



No. 3
BiIrPdAu, optimized geometry, DFT PBE; space group = I-4m2; final energy = -5.15 eV per atom; DFT formation energy = 149 meV per atom; theoretical density = 15.96 Mg/m³
1.0
4.8447 0.0000 0.0000
0.0000 4.8447 0.0000
0.0000 0.0000 6.2457
Pd Ir Au Bi
2 2 2 2
direct
0.0000 0.5000 0.7500
0.5000 0.0000 0.2500
0.0000 0.5000 0.2500
0.5000 0.0000 0.7500
0.5000 0.5000 0.0000
0.0000 0.0000 0.5000
0.5000 0.5000 0.5000
0.0000 0.0000 0.0000



No. 4
BiIrPdAu, optimized geometry, DFT PBE; space group = I-4m2; final energy = -5.06 eV per atom; DFT formation energy = 241 meV per atom; theoretical density = 15.68 Mg/m³
1.0
5.0251 0.0000 0.0000
0.0000 5.0251 0.0000
0.0000 0.0000 5.9088
Bi Ir Au Pd
2 2 2 2
direct
0.5000 0.5000 0.5000
0.0000 0.0000 0.0000
0.5000 0.0000 0.2500
0.0000 0.5000 0.7500
0.0000 0.5000 0.2500
0.5000 0.0000 0.7500
0.5000 0.5000 0.0000
0.0000 0.0000 0.5000



No. 5
BiIrPdAu, optimized geometry, DFT PBE; space group = Imm2; final energy = -5.10 eV per atom; DFT formation energy = 208 meV per atom; theoretical density = 15.90 Mg/m³
1.0
-3.5482 -1.1105 -1.7331
0.6755 -3.8730 1.0986
-4.1626 1.4312 7.6049
Pd Au Ir Bi
2 2 2 2
direct
0.0000 0.0000 0.1530
0.5000 0.5000 0.6530
0.0000 0.5000 0.4039
0.5000 0.0000 0.9039
0.5000 0.0000 0.4029
0.0000 0.5000 0.9029
0.0000 0.0000 0.6544
0.5000 0.5000 0.1544



No. 6
BiIrPdAu, optimized geometry, DFT PBE; space group = P1; final energy = -5.08 eV per atom; DFT formation energy = 224 meV per atom; theoretical density = 15.58 Mg/m³
1.0
3.2386 -0.0785 0.0153
-0.1417 4.8179 -0.0218
-1.5310 -1.9499 4.8181
Au Bi Pd Ir
1 1 1 1
direct
0.3577 0.0063 0.9827
0.2023 0.4056 0.5292
0.8888 0.5347 0.0491
0.6644 0.9371 0.5048



No. 7
BiIrPdAu, optimized geometry, DFT PBE; space group = Pm; final energy = -5.12 eV per atom; DFT formation energy = 185 meV per atom; theoretical density = 15.41 Mg/m³
1.0
-2.6047 1.1106 1.6398
-2.1277 -3.9224 -0.7232
3.2414 -2.4135 3.5533
Bi Au Ir Pd
1 1 1 1
direct
0.2882 0.5000 0.9659
0.0128 0.0000 0.4105
0.5584 0.5000 0.5020
0.7369 0.0000 0.8622



No. 8
BiIrPdAu, optimized geometry, DFT PBE; space group = Pmmm; final energy = -5.11 eV per atom; DFT formation energy = 198 meV per atom; theoretical density = 15.95 Mg/m³
1.0
3.9435 0.0000 0.0000
0.0000 4.2950 0.0000
0.0000 0.0000 4.3315
Pd Bi Ir Au
1 1 1 1
direct
0.5000 0.0000 0.0000
0.0000 0.5000 0.0000
0.5000 0.5000 0.5000
0.0000 0.0000 0.5000